1.
Below is a relaxed CdHg2Te crystal, with properties calculated at the PBE-GGA level.

Crystal system: tetragonal
Energy relative to the elements, uncorrected (eV/atom): 0.11
DFT total energy (eV/atom): -1.058

Geometry as CIF:
```
data_CdHg2Te
_cell_length_a 5.0202
_cell_length_b 5.0202
_cell_length_c 4.1895
_cell_angle_alpha 90.00
_cell_angle_beta 90.00
_cell_angle_gamma 90.00
_space_group_name_H-M_alt 'P 4/m m m'
_space_group_IT_number 123
_space_group_name_Hall '-P 4 2'
loop_
_atom_site_label
_atom_site_fract_x
_atom_site_fract_y
_atom_site_fract_z
Cd1 0.0000 0.0000 0.0000
Hg1 0.0000 0.5000 0.5000
Te1 0.5000 0.5000 0.0000
```

---

2.
Below is a relaxed KNa5Cd crystal, with properties calculated at the PBE-GGA level.

Crystal system: tetragonal
DFT total energy (eV/atom): -1.212
Calculated formation energy (eV/f.u.): 0.12

Geometry as CIF:
```
data_KNa5Cd
_cell_length_a 4.8805
_cell_length_b 4.8805
_cell_length_c 11.8129
_cell_angle_alpha 90.00
_cell_angle_beta 90.00
_cell_angle_gamma 90.00
_space_group_name_H-M_alt 'P 4/m m m'
_space_group_IT_number 123
_space_group_name_Hall '-P 4 2'
loop_
_atom_site_label
_atom_site_fract_x
_atom_site_fract_y
_atom_site_fract_z
K1 0.0000 0.0000 0.0000
Na1 0.0000 0.0000 0.5000
Na2 0.0000 0.5000 0.2898
Cd1 0.5000 0.5000 0.5000
```

---

3.
Below is a relaxed KTl2Sb2 crystal, with properties calculated at the PBE-GGA level.

Crystal system: tetragonal
Energy relative to the elements, uncorrected (eV/atom): -0.13
DFT total energy (eV/atom): -2.942

Geometry as CIF:
```
data_KTl2Sb2
_cell_length_a 9.1173
_cell_length_b 9.1173
_cell_length_c 4.3720
_cell_angle_alpha 90.00
_cell_angle_beta 90.00
_cell_angle_gamma 90.00
_space_group_name_H-M_alt 'P 4/m b m'
_space_group_IT_number 127
_space_group_name_Hall '-P 4 2ab'
loop_
_atom_site_label
_atom_site_fract_x
_atom_site_fract_y
_atom_site_fract_z
K1 0.0000 0.0000 0.0000
Tl1 0.1583 0.3417 0.5000
Sb1 0.1105 0.6105 0.0000
```

---

4.
Below is a relaxed Ta2Nb15Pt2 crystal, with properties calculated at the PBE-GGA level.

Crystal system: trigonal
DFT total energy (eV/atom): -9.574
Calculated formation energy (eV/f.u.): 4.93

Geometry as CIF:
```
data_Ta2Nb15Pt2
_cell_length_a 9.4108
_cell_length_b 9.4108
_cell_length_c 14.1092
_cell_angle_alpha 90.00
_cell_angle_beta 90.00
_cell_angle_gamma 120.00
_space_group_name_H-M_alt 'R -3 m'
_space_group_IT_number 166
_space_group_name_Hall '-R 3 2"'
loop_
_atom_site_label
_atom_site_fract_x
_atom_site_fract_y
_atom_site_fract_z
Ta1 0.0000 0.0000 0.1768
Nb1 0.0000 0.3281 0.5000
Nb2 0.0000 0.5000 0.0000
Nb3 0.0030 0.5015 0.6577
Pt1 0.0000 0.0000 0.4044
```

---

5.
Below is a relaxed MgGa3Ag3 crystal, with properties calculated at the PBE-GGA level.

Crystal system: trigonal
DFT total energy (eV/atom): -2.790
Calculated formation energy (eV/f.u.): -0.30

Geometry as CIF:
```
data_MgGa3Ag3
_cell_length_a 7.7912
_cell_length_b 7.7912
_cell_length_c 15.8521
_cell_angle_alpha 90.00
_cell_angle_beta 90.00
_cell_angle_gamma 120.00
_space_group_name_H-M_alt 'R -3'
_space_group_IT_number 148
_space_group_name_Hall '-R 3'
loop_
_atom_site_label
_atom_site_fract_x
_atom_site_fract_y
_atom_site_fract_z
Mg1 0.0000 0.0000 0.1726
Ga1 0.9996 0.3293 0.0454
Ag1 0.0031 0.3144 0.5488
```

---

6.
Below is a relaxed Pr8SmRu2 crystal, with properties calculated at the PBE-GGA level.

Crystal system: monoclinic
DFT total energy (eV/atom): -5.569
Calculated formation energy (eV/f.u.): 0.25

Geometry as CIF:
```
data_Pr8SmRu2
_cell_length_a 12.8275
_cell_length_b 8.6254
_cell_length_c 7.4678
_cell_angle_alpha 90.00
_cell_angle_beta 112.53
_cell_angle_gamma 90.00
_space_group_name_H-M_alt 'C 1 2/m 1'
_space_group_IT_number 12
loop_
_space_group_symop_operation_xyz
'x,y,z'
'-x,-y,-z'
'-x,y,-z'
'x,-y,z'
'x+1/2,y+1/2,z'
'-x+1/2,-y+1/2,-z'
'-x+1/2,y+1/2,-z'
'x+1/2,-y+1/2,z'
loop_
_atom_site_label
_atom_site_fract_x
_atom_site_fract_y
_atom_site_fract_z
Pr1 0.1157 0.1958 0.3022
Pr2 0.1221 0.5000 0.6950
Pr3 0.1692 0.0000 0.8087
Sm1 0.0000 0.5000 0.0000
Ru1 0.1939 0.5000 0.3991
```

---

7.
Below is a relaxed Sr3Cd2Ga2 crystal, with properties calculated at the PBE-GGA level.

Crystal system: monoclinic
DFT total energy (eV/atom): -2.222
Calculated formation energy (eV/f.u.): -2.62

Geometry as CIF:
```
data_Sr3Cd2Ga2
_cell_length_a 12.1872
_cell_length_b 4.4216
_cell_length_c 8.9007
_cell_angle_alpha 90.00
_cell_angle_beta 112.68
_cell_angle_gamma 90.00
_space_group_name_H-M_alt 'C 1 2/m 1'
_space_group_IT_number 12
loop_
_space_group_symop_operation_xyz
'x,y,z'
'-x,-y,-z'
'-x,y,-z'
'x,-y,z'
'x+1/2,y+1/2,z'
'-x+1/2,-y+1/2,-z'
'-x+1/2,y+1/2,-z'
'x+1/2,-y+1/2,z'
loop_
_atom_site_label
_atom_site_fract_x
_atom_site_fract_y
_atom_site_fract_z
Sr1 0.0000 0.0000 0.0000
Sr2 0.1903 0.0000 0.6538
Cd1 0.0225 0.5000 0.3375
Ga1 0.1980 0.5000 0.9384
```

---

8.
Below is a relaxed CeTh3Ru4 crystal, with properties calculated at the PBE-GGA level.

Crystal system: orthorhombic
DFT total energy (eV/atom): -8.528
Calculated formation energy (eV/f.u.): -2.93

Geometry as CIF:
```
data_CeTh3Ru4
_cell_length_a 11.2156
_cell_length_b 5.7048
_cell_length_c 5.6826
_cell_angle_alpha 90.00
_cell_angle_beta 90.00
_cell_angle_gamma 90.00
_space_group_name_H-M_alt 'P m n 21'
_space_group_IT_number 31
loop_
_space_group_symop_operation_xyz
'x,y,z'
'-x+1/2,-y,z+1/2'
'-x,y,z'
'x+1/2,-y,z+1/2'
loop_
_atom_site_label
_atom_site_fract_x
_atom_site_fract_y
_atom_site_fract_z
Ce1 0.0000 0.1444 0.0000
Th1 0.0000 0.6993 0.5737
Th2 0.2501 0.2328 0.6146
Ru1 0.0000 0.2223 0.4840
Ru2 0.0000 0.6255 0.0895
Ru3 0.2081 0.2704 0.1182
```

---

9.
Below is a relaxed Th2Ni12Ge7 crystal, with properties calculated at the PBE-GGA level.

Crystal system: hexagonal
DFT total energy (eV/atom): -6.036
Calculated formation energy (eV/f.u.): -10.21

Geometry as CIF:
```
data_Th2Ni12Ge7
_cell_length_a 9.4343
_cell_length_b 9.4343
_cell_length_c 3.8881
_cell_angle_alpha 90.00
_cell_angle_beta 90.00
_cell_angle_gamma 120.00
_space_group_name_H-M_alt 'P -6'
_space_group_IT_number 174
loop_
_space_group_symop_operation_xyz
'x,y,z'
'-x+y,-x,-z'
'-y,x-y,z'
'x,y,-z'
'-x+y,-x,z'
'-y,x-y,-z'
loop_
_atom_site_label
_atom_site_fract_x
_atom_site_fract_y
_atom_site_fract_z
Th1 0.0000 0.0000 0.0000
Th2 0.3333 0.6667 0.5000
Ni1 0.0330 0.2812 0.5000
Ni2 0.1209 0.7334 0.0000
Ni3 0.3844 0.1901 0.0000
Ni4 0.5652 0.4284 0.5000
Ge1 0.0507 0.4510 0.0000
Ge2 0.2693 0.2407 0.5000
Ge3 0.6667 0.3333 0.0000
```

---

10.
Below is a relaxed TbSm3Sb2 crystal, with properties calculated at the PBE-GGA level.

Crystal system: monoclinic
Energy relative to the elements, uncorrected (eV/atom): -0.70
DFT total energy (eV/atom): -5.210

Geometry as CIF:
```
data_TbSm3Sb2
_cell_length_a 18.4426
_cell_length_b 4.3842
_cell_length_c 9.9596
_cell_angle_alpha 90.00
_cell_angle_beta 115.77
_cell_angle_gamma 90.00
_space_group_name_H-M_alt 'C 1 2/m 1'
_space_group_IT_number 12
loop_
_space_group_symop_operation_xyz
'x,y,z'
'-x,-y,-z'
'-x,y,-z'
'x,-y,z'
'x+1/2,y+1/2,z'
'-x+1/2,-y+1/2,-z'
'-x+1/2,y+1/2,-z'
'x+1/2,-y+1/2,z'
loop_
_atom_site_label
_atom_site_fract_x
_atom_site_fract_y
_atom_site_fract_z
Tb1 0.1101 0.0000 0.1167
Sm1 0.0544 0.0000 0.6769
Sm2 0.1483 0.5000 0.4742
Sm3 0.1882 0.5000 0.8925
Sb1 0.0075 0.5000 0.8478
Sb2 0.2499 0.0000 0.7246
```

---

11.
Below is a relaxed Li2TiFe crystal, with properties calculated at the PBE-GGA level.

Crystal system: tetragonal
DFT total energy (eV/atom): -4.729
Calculated formation energy (eV/f.u.): 1.27

Geometry as CIF:
```
data_Li2TiFe
_cell_length_a 3.3622
_cell_length_b 3.3622
_cell_length_c 19.9290
_cell_angle_alpha 90.00
_cell_angle_beta 90.00
_cell_angle_gamma 90.00
_space_group_name_H-M_alt 'I -4 2 d'
_space_group_IT_number 122
_space_group_name_Hall 'I -4 2bw'
loop_
_atom_site_label
_atom_site_fract_x
_atom_site_fract_y
_atom_site_fract_z
Li1 0.2293 0.2500 0.1250
Ti1 0.0000 0.0000 0.5000
Fe1 0.0000 0.0000 0.0000
```

---

12.
Below is a relaxed Cs3Tm3HfS8 crystal, with properties calculated at the PBE-GGA level.

Crystal system: trigonal
Energy relative to the elements, uncorrected (eV/atom): -1.81
DFT total energy (eV/atom): -5.742

Geometry as CIF:
```
data_Cs3Tm3HfS8
_cell_length_a 7.8847
_cell_length_b 7.8847
_cell_length_c 24.6197
_cell_angle_alpha 90.00
_cell_angle_beta 90.00
_cell_angle_gamma 120.00
_space_group_name_H-M_alt 'R -3 m'
_space_group_IT_number 166
_space_group_name_Hall '-R 3 2"'
loop_
_atom_site_label
_atom_site_fract_x
_atom_site_fract_y
_atom_site_fract_z
Cs1 0.0000 0.5000 0.0000
Tm1 0.0000 0.5000 0.5000
Hf1 0.0000 0.0000 0.5000
S1 0.0000 0.0000 0.2261
S2 0.0155 0.5078 0.2246
```

---

Total magnetic moment, record by record: 0.000, 0.000, 0.000, 0.000, 0.000, 0.000, 0.000, 0.000, 0.000, 0.035, 0.001, 0.000 μB per formula unit
Calculated volume, record by record: 26.40, 40.20, 36.34, 18.98, 19.84, 34.69, 31.61, 22.72, 14.27, 30.22, 14.08, 29.46 Å³ per atom